The following is a PBE calculation of an optimized crystal structure of PrEr5Tl, from the Alexandria database.

a b c (Å): 7.6216 7.6216 7.6216
angles (deg): 117.39 82.95 131.51
Positions (direct):
Pr1 0.0000 0.0000 0.0000
Er1 0.3407 0.5943 0.7464
Er2 0.4988 0.3116 0.8129
Er3 0.4988 0.6859 0.1871
Er4 0.7902 0.2902 0.5000
Er5 0.8479 0.5943 0.2536
Tl1 0.2606 0.7606 0.5000

Computed properties:
- E_form: 475 kJ/mol of formula units
- E_tot: -3.577 eV per atom
- Space-group type: Imm2 (44)